Compound: Cd2InTc
Source: Alexandria via LeMat-Bulk
Functional: PBE
Structure: optimized geometry

POSCAR file:
```
Cd2InTc
1.0
-2.043 2.060 4.566
2.043 -2.060 4.566
2.043 2.060 -4.566
Cd In Tc
2 1 1
Cartesian
0.000 0.000 0.000 Cd
0.000 2.060 2.279 Cd
2.043 0.000 2.289 In
0.000 0.000 4.565 Tc
```

Energy of formation from the pure elements in eV/atom: 0.3189
Density in Mg/m³: 9.453
Total DFT energy (no corrections) in eV/cell: -13.66
Space-group type: Imm2 (44)
Size of the total moment in μB per cell: 0.080
D(E_F) in states/eV/atom: 0.51

Compound: InSi2B2
Source: Alexandria via LeMat-Bulk
Functional: PBE
Structure: optimized geometry

POSCAR file:
```
InSi2B2
1.0
6.665 0.000 0.000
0.000 6.665 0.000
0.000 0.000 3.114
In Si B
2 4 4
Cartesian
0.000 0.000 0.000 In
3.332 3.332 0.000 In
0.903 2.430 1.557 Si
2.430 5.762 1.557 Si
4.235 0.903 1.557 Si
5.762 4.235 1.557 Si
0.636 3.968 0.000 B
2.696 0.636 0.000 B
3.968 6.029 0.000 B
6.029 2.696 0.000 B
```

Distance to the lowest polymorph of the same formula in meV per atom: 238
Density in Mg/m³: 4.625
Total DFT energy (no corrections) in eV/cell: -45.43
Space-group type: P4/mbm (127)
Size of the total moment in μB per cell: 0.000
D(E_F) in states/eV/atom: 0.37

Compound: La2Bi
Source: Alexandria via LeMat-Bulk
Functional: PBE
Structure: optimized geometry

POSCAR file:
```
La2Bi
1.0
7.160 0.000 0.000
0.000 5.158 0.000
0.000 0.000 10.876
La Bi
8 4
Cartesian
0.655 1.290 2.280 La
1.159 1.290 6.057 La
2.421 3.869 0.618 La
2.925 3.869 7.719 La
4.235 1.290 3.158 La
4.739 1.290 10.258 La
6.001 3.869 4.820 La
6.505 3.869 8.596 La
1.328 1.290 9.547 Bi
2.252 3.869 4.109 Bi
4.908 1.290 6.767 Bi
5.832 3.869 1.329 Bi
```

Distance to the lowest polymorph of the same formula in meV per atom: 63
Energy of formation from the pure elements in eV/atom: -0.6861
Density in Mg/m³: 8.049
Total DFT energy (no corrections) in eV/cell: -63.18
Space-group type: Pnma (62)
Size of the total moment in μB per cell: 0.000
D(E_F) in states/eV/atom: 1.18

Compound: AlOsCl
Source: Alexandria via LeMat-Bulk
Functional: PBE
Structure: optimized geometry

POSCAR file:
```
AlOsCl
1.0
0.000 2.501 7.605
1.509 0.000 7.605
1.509 2.501 0.000
Al Os Cl
1 1 1
Cartesian
0.000 0.000 0.000 Al
1.509 2.501 9.486 Os
1.509 2.501 5.828 Cl
```

Distance to the lowest polymorph of the same formula in meV per atom: 231
Density in Mg/m³: 7.310
Total DFT energy (no corrections) in eV/cell: -16.29
Space-group type: Fmm2 (42)
Size of the total moment in μB per cell: 0.000
D(E_F) in states/eV/atom: 0.68

Compound: Sm3PuTl4S8
Source: Alexandria via LeMat-Bulk
Functional: PBE
Structure: optimized geometry

POSCAR file:
```
Sm3PuTl4S8
1.0
4.122 2.380 7.490
-4.122 2.380 7.490
0.000 -4.760 7.490
Sm Pu Tl S
3 1 4 8
Cartesian
-2.061 -1.190 7.490 Sm
-2.061 1.190 14.979 Sm
0.000 2.380 7.490 Sm
0.000 0.000 0.000 Pu
-4.122 0.000 11.235 Tl
-2.061 1.190 3.745 Tl
2.061 1.190 3.745 Tl
0.000 0.000 11.235 Tl
0.000 -2.398 8.990 S
-2.077 1.199 8.990 S
-2.077 -1.199 13.480 S
0.000 0.000 5.972 S
0.000 0.000 16.497 S
2.077 1.199 8.990 S
2.077 -1.199 13.480 S
0.000 2.398 13.480 S
```

Density in Mg/m³: 6.664
Total DFT energy (no corrections) in eV/cell: -93.26
Space-group type: R-3m (166)
Size of the total moment in μB per cell: 5.000
D(E_F) in states/eV/atom: 0.73

Compound: Ti2Zn2W
Source: Alexandria via LeMat-Bulk
Functional: PBE
Structure: optimized geometry

POSCAR file:
```
Ti2Zn2W
1.0
7.125 0.000 0.000
0.000 7.125 0.000
0.000 0.000 3.063
Ti Zn W
4 4 2
Cartesian
1.291 2.271 0.000 Ti
2.271 5.834 0.000 Ti
4.853 1.291 0.000 Ti
5.834 4.853 0.000 Ti
0.860 4.422 1.532 Zn
2.702 0.860 1.532 Zn
4.422 6.265 1.532 Zn
6.265 2.702 1.532 Zn
0.000 0.000 1.532 W
3.562 3.562 1.532 W
```

Distance to the lowest polymorph of the same formula in meV per atom: 122
Energy of formation from the pure elements in eV/atom: 0.0823
Density in Mg/m³: 8.766
Total DFT energy (no corrections) in eV/cell: -61.76
Space-group type: P4/mbm (127)
Size of the total moment in μB per cell: 0.000
D(E_F) in states/eV/atom: 1.15